The following is a GGA-PBE calculation of a relaxed K2LaBe crystal, from Alexandria via LeMat-Bulk.

The total moment comes out at 0.00 μB/atom. As for the energy of formation: 827 meV/atom.

It has space group P4/mmm (No. 123), with a = 3.619 Å, b = 3.619 Å, c = 12.111 Å, α = 90.00°, β = 90.00° and γ = 90.00°. The asymmetric unit holds K at (0.000, 0.000, 0.194), La at (0.500, 0.500, 0.500) and Be at (0.500, 0.500, 0.000).